A relaxed TeOsAu crystal. Source: Alexandria, functional PBE.

a = 4.4498 Å, b = 4.4498 Å, c = 3.4178 Å
α = 90.00°, β = 90.00°, γ = 120.00°
Last column: nearest neighbours and their distance in Å.
Fractional positions:
Te (0.0000, 0.0000, 0.0000)  3 Os 2.57
Os (0.6667, 0.3333, 0.0000)  3 Te 2.57
Au (0.3333, 0.6667, 0.5000)  6 Te 3.09, 6 Os 3.09, 2 Au 3.42

Volume (A^3/atom): 19.54
N(E_F) (states/eV per atom): 0.62
ΔE_f (raw) (eV/atom): 0.787
E_tot (eV per atom): -5.096
Symmetry: P-6m2, No. 187
Energy above the most stable polymorph in this dataset (eV per atom): 0.238


A relaxed MnMo2W crystal. Source: Alexandria, functional PBE.

a = 7.0185 Å, b = 7.0185 Å, c = 5.1103 Å
α = 90.00°, β = 90.00°, γ = 90.00°
Last column: nearest neighbours and their distance in Å.
Fractional positions:
Mn (0.0000, 0.0000, 0.0000)  4 Mo 2.43, 2 W 2.56
Mn (0.0000, 0.5000, 0.2500)  4 Mo 2.43, 2 W 2.56
Mn (0.5000, 0.0000, 0.7500)  4 Mo 2.43, 2 W 2.56
Mn (0.5000, 0.5000, 0.5000)  4 Mo 2.43, 2 W 2.56
Mo (0.2225, 0.2500, 0.1250)  2 Mn 2.43, 2 Mo 2.58, 2 W 2.70
Mo (0.2500, 0.7225, 0.3750)  2 Mn 2.43, 2 Mo 2.58, 2 W 2.70
Mo (0.2500, 0.7775, 0.8750)  2 Mn 2.43, 2 Mo 2.58, 2 W 2.70
Mo (0.2775, 0.2500, 0.6250)  2 Mn 2.43, 2 Mo 2.58, 2 W 2.70
Mo (0.7225, 0.7500, 0.6250)  2 Mn 2.43, 2 Mo 2.58, 2 W 2.70
Mo (0.7500, 0.2225, 0.8750)  2 Mn 2.43, 2 Mo 2.58, 2 W 2.70
Mo (0.7500, 0.2775, 0.3750)  2 Mn 2.43, 2 Mo 2.58, 2 W 2.70
Mo (0.7775, 0.7500, 0.1250)  2 Mn 2.43, 2 Mo 2.58, 2 W 2.70
W (0.0000, 0.0000, 0.5000)  2 Mn 2.56, 4 Mo 2.70
W (0.0000, 0.5000, 0.7500)  2 Mn 2.56, 4 Mo 2.70
W (0.5000, 0.0000, 0.2500)  2 Mn 2.56, 4 Mo 2.70
W (0.5000, 0.5000, 0.0000)  2 Mn 2.56, 4 Mo 2.70

Volume (A^3/atom): 15.73
N(E_F) (states/eV per atom): 1.14
E_tot (eV per atom): -10.133
Symmetry: I-42d, No. 122
Energy above the most stable polymorph in this dataset (eV per atom): 0.759
Energy of formation (eV/f.u.): 3.3


A relaxed Tb2Tm2Pd7 crystal. Source: Alexandria, functional PBE.

a = 6.7431 Å, b = 6.7431 Å, c = 5.4332 Å
α = 109.01°, β = 109.01°, γ = 92.29°
Last column: nearest neighbours and their distance in Å.
Fractional positions:
Tb (0.1854, 0.8146, 0.0000)  6 Pd 2.83-3.11
Tb (0.8146, 0.1854, 0.0000)  6 Pd 2.83-3.11
Tm (0.3482, 0.3482, 0.6021)  8 Pd 2.76-3.05
Tm (0.6518, 0.6518, 0.3979)  8 Pd 2.76-3.05
Pd (0.0000, 0.0000, 0.5000)  6 Pd 2.75-2.90, 2 Tm 3.03
Pd (0.0731, 0.5881, 0.3255)  5 Pd 2.75-2.96, 2 Tb 2.83-2.93, 2 Tm 2.89-3.02
Pd (0.2831, 0.2831, 0.0469)  3 Tm 2.76-3.05, 5 Pd 2.85-2.96
Pd (0.4119, 0.9269, 0.6745)  5 Pd 2.75-2.96, 2 Tb 2.83-2.93, 2 Tm 2.89-3.02
Pd (0.5881, 0.0731, 0.3255)  5 Pd 2.75-2.96, 2 Tb 2.83-2.93, 2 Tm 2.89-3.02
Pd (0.7169, 0.7169, 0.9531)  3 Tm 2.76-3.05, 5 Pd 2.85-2.96
Pd (0.9269, 0.4119, 0.6745)  5 Pd 2.75-2.96, 2 Tb 2.83-2.93, 2 Tm 2.89-3.02

Volume (A^3/atom): 19.81
N(E_F) (states/eV per atom): 0.51
E_tot (eV per atom): -5.818
Symmetry: C2/m, No. 12
Energy of formation (eV/f.u.): -9.4


> Which formula does entry 3 have?

Tb2Tm2Pd7


> Number 1 is which compound?

TeOsAu